{"formula": "Er2PuO6", "functional": "PBE-GGA", "state": "relaxed", "lattice_angstrom": [[-1.561, 1.286, -4.635], [-3.534, -3.612, 0.188], [-6.633, 6.703, 4.093]], "species": ["Er", "Er", "Er", "Er", "Pu", "Pu", "O", "O", "O", "O", "O", "O", "O", "O", "O", "O", "O", "O"], "fractional_positions": [[0.000, 0.000, 0.335], [0.500, 0.500, 0.835], [0.500, 0.500, 0.165], [0.000, 0.000, 0.665], [0.000, 0.000, 0.000], [0.500, 0.500, 0.500], [0.314, 0.314, 0.344], [0.686, 0.686, 0.344], [0.186, 0.814, 0.844], [0.814, 0.186, 0.844], [0.186, 0.814, 0.156], [0.814, 0.186, 0.156], [0.314, 0.314, 0.656], [0.686, 0.686, 0.656], [0.294, 0.294, 0.000], [0.706, 0.706, 0.000], [0.206, 0.794, 0.500], [0.794, 0.206, 0.500]], "raw_formation_energy_ev_per_atom": -3.15, "volume_a3_per_atom": 14.61}